w:
{
  "formula": "AlTlW2",
  "functional": "PBE-GGA",
  "state": "optimized geometry",
  "dos_at_fermi_per_ev_atom": 0.551,
  "crystal_system": "monoclinic",
  "spacegroup": "No. 12",
  "m_tot_mub_per_atom": 0.00,
  "lattice": [[-4.2777, 3.1496, -1.0125], [0.4686, -1.8948, 5.0432], [0.7523, 2.3859, 1.3978]],
  "species": ["W", "W", "Al", "Tl"],
  "frac_coords": [[0.5000, 0.5000, 0.0000], [0.0000, 0.0000, 0.0000], [0.5000, 0.0000, 0.5000], [0.0000, 0.5000, 0.5000]]
}



x:
{
  "formula": "AlTlW2",
  "functional": "PBE-GGA",
  "state": "optimized geometry",
  "dos_at_fermi_per_ev_atom": 0.860,
  "crystal_system": "tetragonal",
  "spacegroup": "No. 122",
  "m_tot_mub_per_atom": 0.00,
  "lattice": [[3.9087, 0.0000, 0.0000], [0.0000, 3.9087, 0.0000], [1.9544, 1.9544, 10.0035]],
  "species": ["W", "Tl", "Al", "Al", "W", "Tl", "W", "W"],
  "frac_coords": [[0.8750, 0.8424, 0.7500], [0.0000, 0.0000, 0.0000], [0.2500, 0.7500, 0.5000], [0.5000, 0.5000, 0.0000], [0.5924, 0.1250, 0.2500], [0.7500, 0.2500, 0.5000], [0.1576, 0.6250, 0.2500], [0.3750, 0.4076, 0.7500]]
}



Energy ordering: w at the bottom, the next structure 229 meV/atom above.



w:
{
  "formula": "AlTlW2",
  "functional": "PBE-GGA",
  "state": "optimized geometry",
  "dos_at_fermi_per_ev_atom": 0.682,
  "crystal_system": "orthorhombic",
  "spacegroup": "No. 65",
  "m_tot_mub_per_atom": 0.00,
  "lattice": [[5.2583, 0.0012, 0.0000], [-2.2731, 4.7415, 0.0000], [0.0000, 0.0000, 2.8059]],
  "species": ["W", "W", "Al", "Tl"],
  "frac_coords": [[0.0000, 0.0000, 0.0000], [0.5000, 0.5000, 0.0000], [0.5000, 0.0000, 0.5000], [0.0000, 0.5000, 0.5000]]
}



x:
{
  "formula": "AlTlW2",
  "functional": "PBE-GGA",
  "state": "optimized geometry",
  "dos_at_fermi_per_ev_atom": 0.559,
  "crystal_system": "monoclinic",
  "spacegroup": "No. 10",
  "m_tot_mub_per_atom": 0.00,
  "lattice": [[-2.9526, 1.2194, -3.2426], [1.1046, -1.9824, -1.7513], [-3.3196, -4.1948, 1.4452]],
  "species": ["Tl", "W", "W", "Al"],
  "frac_coords": [[0.5000, 0.7500, 0.7500], [0.0000, 0.9505, 0.0329], [0.0000, 0.5495, 0.4671], [0.5000, 0.2500, 0.2500]]
}



Energy ordering: x at the bottom, the next structure 173 meV/atom above.



w:
{
  "formula": "AlTlW2",
  "functional": "PBE-GGA",
  "state": "optimized geometry",
  "dos_at_fermi_per_ev_atom": 0.590,
  "crystal_system": "orthorhombic",
  "spacegroup": "No. 71",
  "m_tot_mub_per_atom": 0.00,
  "lattice": [[-0.8667, 1.2181, -5.2142], [-5.1712, 0.3887, -1.5908], [3.8062, 1.9286, 3.3490]],
  "species": ["W", "Al", "W", "Tl"],
  "frac_coords": [[0.9912, 0.9912, 0.0000], [0.7500, 0.2500, 0.5000], [0.5088, 0.5088, 0.0000], [0.2500, 0.7500, 0.5000]]
}



x:
{
  "formula": "AlTlW2",
  "functional": "PBE-GGA",
  "state": "optimized geometry",
  "dos_at_fermi_per_ev_atom": 0.970,
  "crystal_system": "tetragonal",
  "spacegroup": "No. 123",
  "m_tot_mub_per_atom": 0.00,
  "lattice": [[4.4570, 0.0000, 0.0000], [0.0000, 3.9536, 0.0000], [0.0000, 0.0000, 3.9536]],
  "species": ["W", "Tl", "W", "Al"],
  "frac_coords": [[0.0000, 0.5000, 0.5000], [0.5000, 0.0000, 0.5000], [0.0000, 0.0000, 0.0000], [0.5000, 0.5000, 0.0000]]
}



Energy ordering: w at the bottom, the next structure 112 meV/atom above.



w:
{
  "formula": "AlTlW2",
  "functional": "PBE-GGA",
  "state": "optimized geometry",
  "dos_at_fermi_per_ev_atom": 0.926,
  "crystal_system": "trigonal",
  "spacegroup": "No. 160",
  "m_tot_mub_per_atom": 0.00,
  "lattice": [[-9.3159, 2.1281, -2.2503], [-9.3612, -0.7512, -2.8607], [-9.8152, 0.1762, -0.1041]],
  "species": ["Al", "W", "Tl", "W"],
  "frac_coords": [[0.5075, 0.5075, 0.5075], [0.2482, 0.2482, 0.2482], [0.7506, 0.7506, 0.7506], [0.9938, 0.9938, 0.9938]]
}



x:
{
  "formula": "AlTlW2",
  "functional": "PBE-GGA",
  "state": "optimized geometry",
  "dos_at_fermi_per_ev_atom": 0.570,
  "crystal_system": "orthorhombic",
  "spacegroup": "No. 47",
  "m_tot_mub_per_atom": 0.00,
  "lattice": [[-0.4101, 2.7910, 1.5979], [-2.8944, 1.4975, -3.3585], [-3.5635, -1.8179, 2.2605]],
  "species": ["W", "Al", "W", "Tl"],
  "frac_coords": [[0.0000, 0.0000, 0.0000], [0.5000, 0.0000, 0.5000], [0.5000, 0.5000, 0.0000], [0.0000, 0.5000, 0.5000]]
}



y:
{
  "formula": "AlTlW2",
  "functional": "PBE-GGA",
  "state": "optimized geometry",
  "dos_at_fermi_per_ev_atom": 0.705,
  "crystal_system": "tetragonal",
  "spacegroup": "No. 139",
  "m_tot_mub_per_atom": 0.00,
  "lattice": [[-4.6055, -0.4022, 2.5460], [0.1761, -2.2483, 4.7716], [2.6396, 3.8293, -2.4946]],
  "species": ["W", "Tl", "Al", "W"],
  "frac_coords": [[0.5000, 0.5000, 0.0000], [0.7500, 0.2500, 0.5000], [0.2500, 0.7500, 0.5000], [0.0000, 0.0000, 0.0000]]
}



z:
{
  "formula": "AlTlW2",
  "functional": "PBE-GGA",
  "state": "optimized geometry",
  "dos_at_fermi_per_ev_atom": 0.592,
  "crystal_system": "orthorhombic",
  "spacegroup": "No. 44",
  "m_tot_mub_per_atom": 0.00,
  "lattice": [[-3.8922, -3.6142, 0.0577], [-1.4184, -1.8024, -4.7912], [4.1553, 0.4400, 3.2795]],
  "species": ["Tl", "Al", "W", "W"],
  "frac_coords": [[0.2490, 0.7490, 0.5000], [0.5127, 0.5127, 0.0000], [0.7577, 0.2577, 0.5000], [0.9806, 0.9806, 0.0000]]
}



Energy ordering: w at the bottom, the next structure 67 meV/atom above.



w:
{
  "formula": "YAl2Tl",
  "functional": "PBE-GGA",
  "state": "optimized geometry",
  "dos_at_fermi_per_ev_atom": 0.790,
  "crystal_system": "tetragonal",
  "spacegroup": "No. 99",
  "m_tot_mub_per_atom": 0.06,
  "lattice": [[-0.7908, 3.1491, 1.5883], [-0.5751, -1.7212, 3.1261], [6.7158, 0.8321, 1.6937]],
  "species": ["Y", "Al", "Tl", "Al"],
  "frac_coords": [[0.5000, 0.5000, 0.7731], [0.5000, 0.5000, 0.2198], [0.0000, 0.0000, 0.4657], [0.0000, 0.0000, 0.0413]]
}



x:
{
  "formula": "YAl2Tl",
  "functional": "PBE-GGA",
  "state": "optimized geometry",
  "dos_at_fermi_per_ev_atom": 0.600,
  "crystal_system": "cubic",
  "spacegroup": "No. 225",
  "m_tot_mub_per_atom": 0.00,
  "lattice": [[-4.7495, -1.7043, 0.8352], [-1.4692, -1.2604, 4.7342], [-3.3662, 2.9303, 2.4983]],
  "species": ["Tl", "Al", "Y", "Al"],
  "frac_coords": [[0.5000, 0.5000, 0.5000], [0.2500, 0.2500, 0.2500], [0.0000, 0.0000, 0.0000], [0.7500, 0.7500, 0.7500]]
}



Energy ordering: w at the bottom, the next structure 189 meV/atom above.



w:
{
  "formula": "Y4AlTl",
  "functional": "PBE-GGA",
  "state": "optimized geometry",
  "dos_at_fermi_per_ev_atom": 1.541,
  "crystal_system": "trigonal",
  "spacegroup": "No. 166",
  "m_tot_mub_per_atom": 0.00,
  "lattice": [[5.1131, -0.0001, 0.0000], [2.5564, 4.4208, 0.2556], [2.5565, 0.9875, 8.4896]],
  "species": ["Tl", "Y", "Y", "Y", "Al", "Y"],
  "frac_coords": [[0.5000, 0.5000, 0.5000], [0.6285, 0.6285, 0.1144], [0.3715, 0.3715, 0.8856], [0.1210, 0.1210, 0.6370], [0.0000, 0.0000, 0.0000], [0.8790, 0.8790, 0.3630]]
}



x:
{
  "formula": "Y4AlTl",
  "functional": "PBE-GGA",
  "state": "optimized geometry",
  "dos_at_fermi_per_ev_atom": 1.055,
  "crystal_system": "cubic",
  "spacegroup": "No. 216",
  "m_tot_mub_per_atom": 0.00,
  "lattice": [[0.0000, 4.4528, 4.4528], [4.4528, 0.0000, 4.4528], [4.4528, 4.4528, 0.0000]],
  "species": ["Al", "Y", "Y", "Y", "Y", "Tl"],
  "frac_coords": [[0.7500, 0.7500, 0.7500], [0.3755, 0.3755, 0.8736], [0.3755, 0.3755, 0.3755], [0.8736, 0.3755, 0.3755], [0.3755, 0.8736, 0.3755], [0.0000, 0.0000, 0.0000]]
}



y:
{
  "formula": "Y4AlTl",
  "functional": "PBE-GGA",
  "state": "optimized geometry",
  "dos_at_fermi_per_ev_atom": 1.004,
  "crystal_system": "orthorhombic",
  "spacegroup": "No. 47",
  "m_tot_mub_per_atom": 0.00,
  "lattice": [[-2.1046, 1.3034, 2.8165], [3.6672, -5.5262, 5.2975], [4.0033, 3.8288, 1.2195]],
  "species": ["Y", "Al", "Y", "Y", "Tl", "Y"],
  "frac_coords": [[0.5000, 0.3021, 0.0003], [0.5000, 0.5000, 0.5000], [0.5000, 0.6979, 0.9997], [0.0000, 0.7848, 0.4997], [0.0000, 0.0000, 0.0000], [0.0000, 0.2152, 0.5003]]
}



Energy ordering: w at the bottom, the next structure 44 meV/atom above.